Here is an optimized crystal structure of Er8Te4As3N from the Alexandria database. Energies are from PBE.

Calculated values
The calculation puts the total magnetization at 0.00 Bohr magnetons per cell. As for the uncorrected formation energy: -1390 meV/atom. Its space-group type is R-3m, No. 166.

abc: 8.401 8.401 8.401
angles: 57.87 57.87 57.87
Element x y z (fractional)
Er 0.239 0.239 0.239
Er 0.262 0.720 0.720
Er 0.280 0.280 0.738
Er 0.280 0.738 0.280
Er 0.720 0.262 0.720
Er 0.720 0.720 0.262
Er 0.738 0.280 0.280
Er 0.761 0.761 0.761
Te 0.000 0.000 0.000
Te 0.000 0.500 0.500
Te 0.500 0.000 0.500
Te 0.500 0.500 0.000
As 0.000 0.000 0.500
As 0.000 0.500 0.000
As 0.500 0.000 0.000
N 0.500 0.500 0.500